[1]
Density functional theory data (PBE-GGA) for a relaxed AlP2IrAu crystal.

The space group is P4/mmm (No. 123) and the conventional cell measures 4.719, 4.719 and 4.683 Å, with angles of 90.00, 90.00 and 90.00 degrees. Symmetry generates all atoms from Al at (0.000, 0.000, 0.000), P at (0.000, 0.500, 0.500), Ir at (0.500, 0.500, 0.000) and Au at (0.000, 0.000, 0.500).

Its crystal system is tetragonal. The formation energy comes out at 1.3674 eV/atom. The density of states at the Fermi level is 4.59 states/eV/f.u.

***

[2]
Density functional theory data (PBE-GGA) for a relaxed LiBe2W crystal.

The space group is Fm-3m (No. 225) and the conventional cell measures 5.645, 5.645 and 5.645 Å, with angles of 90.00, 90.00 and 90.00 degrees. Symmetry generates all atoms from Li at (0.000, 0.000, 0.000), Be at (0.250, 0.250, 0.250) and W at (0.000, 0.000, 0.500).

Its crystal system is cubic. The formation energy comes out at 0.4421 eV/atom. The density of states at the Fermi level is 3.92 states/eV/f.u.